A relaxed Co5IrSe12 crystal. Source: Alexandria via LeMat-Bulk, functional GGA-PBE.

Unit cell a=6.0656 b=6.0659 c=11.1237 alpha=95.14 beta=100.33 gamma=60.00
Atoms (fractional coordinates):
Co (0.1710, 0.6580, 0.5000)
Se (0.8712, 0.6686, 0.6159)
Se (0.1288, 0.3314, 0.3841)
Se (0.6114, 0.0000, 0.8802)
Ir (0.0000, 0.0000, 0.0000)
Se (0.9609, 0.3480, 0.8793)
Co (0.3323, 0.3353, 0.0000)
Se (0.3886, 0.0000, 0.1198)
Co (0.8290, 0.3420, 0.5000)
Se (0.4602, 0.6686, 0.3841)
Co (0.5000, 0.0000, 0.5000)
Se (0.3089, 0.6520, 0.8793)
Se (0.6911, 0.3480, 0.1207)
Co (0.6677, 0.6647, 0.0000)
Se (0.7979, 0.0000, 0.3877)
Se (0.0391, 0.6520, 0.1207)
Se (0.5398, 0.3314, 0.6159)
Se (0.2021, 0.0000, 0.6123)

density of states at the Fermi level: 14.03 states/eV/f.u.
space-group type: C2/m (12)
uncorrected formation energy: -4.64 eV/f.u.
mass density: 6.83 Mg/m³
VASP energy: -90.85 eV per cell

---

A relaxed Pm2HoTi crystal. Source: Alexandria via LeMat-Bulk, functional GGA-PBE.

Unit cell a=3.3865 b=3.3865 c=12.0128 alpha=81.90 beta=81.90 gamma=60.00
Each line ends with the local moment (μB).
Atoms (fractional coordinates):
Ho (0.5000, 0.5000, 0.5000)  -0.06
Ti (0.0000, 0.0000, 0.0000)  1.14
Pm (0.9169, 0.9169, 0.2493)  0.03
Pm (0.0831, 0.0831, 0.7507)  0.03

E_form: 0.4448 eV per atom
density of states at the Fermi level: 6.78 states/eV/f.u.
energy above the most stable polymorph in this dataset: 216 meV/atom
space-group type: R-3m (166)
mass density: 7.09 Mg/m³
VASP energy: -20.19 eV per cell

---

A relaxed Pr4Ge2C crystal. Source: Alexandria via LeMat-Bulk, functional GGA-PBE.

Unit cell a=4.9521 b=4.9521 c=8.7051 alpha=106.53 beta=106.53 gamma=90.00
Atoms (fractional coordinates):
Pr (0.8288, 0.8288, 0.6576)
Pr (0.0000, 0.5000, 0.0000)
Ge (0.6356, 0.6356, 0.2713)
Pr (0.1712, 0.1712, 0.3424)
Ge (0.3644, 0.3644, 0.7287)
Pr (0.5000, 0.0000, 0.0000)
C (0.0000, 0.0000, 0.0000)

E_form: -0.4331 eV per atom
density of states at the Fermi level: 2.17 states/eV/f.u.
space-group type: I4/mmm (139)
mass density: 6.12 Mg/m³
VASP energy: -40.61 eV per cell

---

> Among the records above, which one has the lowest VASP energy?

Co5IrSe12

---

> Which formula does entry 1 have?

Co5IrSe12